Density functional theory data (PBE) for a relaxed structure of HgWAu2.

For the density of states at the Fermi level, the calculation gives 9.00 states/eV per cell. The value obtained for the total energy is -4.07 eV/atom. Its calculated volume is 20.28 A^3/atom. The value obtained for the formation energy is 0.878 eV/atom. As for the total magnetization: 0.00 μB/f.u.

Structure (POSCAR):
```
HgWAu2
1.0
-1.9623 1.3858 7.1498
-5.2365 -5.4147 -0.3877
-1.6861 -3.9289 4.2772
Au Hg W
4 2 2
direct
0.6037 0.1250 0.2500
0.1463 0.6250 0.2500
0.3750 0.3963 0.7500
0.8750 0.8537 0.7500
0.0000 0.0000 0.0000
0.7500 0.2500 0.5000
0.5000 0.5000 0.0000
0.2500 0.7500 0.5000
```